VASP calculation (PBE-GGA) on a geometry-optimized NpTlBr4 structure.

```
NpTlBr4
1.0
4.866 -7.153 0.000
4.866 7.153 0.000
-3.494 0.000 5.985
Np Tl Br
2 2 8
Direct
0.012 0.988 0.750
0.988 0.012 0.250
0.368 0.632 0.250
0.632 0.368 0.750
0.058 0.736 0.937
0.214 0.336 0.700
0.264 0.942 0.563
0.336 0.214 0.200
0.664 0.786 0.800
0.736 0.058 0.437
0.786 0.664 0.300
0.942 0.264 0.063
```

Computed properties:
The symmetry is No. 15. The total energy comes out at -57.6 eV for the cell shown. The excess energy over the best structure of this formula in the dataset comes out at 28 meV/atom. Its energy relative to the elements, uncorrected is -1.135 eV/atom. The value obtained for the density of states at the Fermi level is 15.2 states/eV/cell. The total moment is 4.00 μB per formula unit.